[1]
The following is a DFT calculation (PBE) of a relaxed structure of CsKZrO3.

Cell lengths 7.1782, 7.1782, 6.0226 Å; angles 91.47, 91.47, 125.40 degrees
Fractional positions:
Cs 0.2431 0.7569 0.7500
Cs 0.7569 0.2431 0.2500
K 0.0814 0.9186 0.2500
K 0.9186 0.0814 0.7500
Zr 0.4489 0.5511 0.2500
Zr 0.5511 0.4489 0.7500
O 0.2863 0.3076 0.5016
O 0.2956 0.7044 0.2500
O 0.3076 0.2863 0.0016
O 0.6924 0.7137 0.9984
O 0.7044 0.2956 0.7500
O 0.7137 0.6924 0.4984

Calculated values
* formation energy (no corrections): -2437 meV per atom
* V: 253 Å³ per cell
* DOS at the Fermi energy: 0.00 states/eV per cell
* total DFT energy (no corrections): -6.67 eV/atom
* symmetry: C2/c
* calculated density: 4.1 g/cm3

[2]
The following is a DFT calculation (PBE) of a relaxed structure of CsKOs2.

Cell lengths 5.5858, 5.5858, 5.5858 Å; angles 60.00, 60.00, 60.00 degrees
Fractional positions:
Cs 0.0000 0.0000 0.0000
K 0.5000 0.5000 0.5000
Os 0.2500 0.2500 0.2500
Os 0.7500 0.7500 0.7500

Calculated values
* V: 123 Å³ per cell
* DOS at the Fermi energy: 3.57 states/eV per cell
* total DFT energy (no corrections): -3.39 eV/atom
* symmetry: Fm-3m
* DFT formation energy: 2.72 eV per atom
* calculated density: 7.4 g/cm3

[3]
The following is a DFT calculation (PBE) of a relaxed structure of CsK3Os.

Cell lengths 6.5473, 6.5473, 6.5473 Å; angles 90.00, 90.00, 90.00 degrees
Fractional positions:
Cs 0.0000 0.0000 0.0000
K 0.0000 0.5000 0.5000
K 0.5000 0.0000 0.5000
K 0.5000 0.5000 0.0000
Os 0.5000 0.5000 0.5000

Calculated values
* V: 281 Å³ per cell
* DOS at the Fermi energy: 2.99 states/eV per cell
* total DFT energy (no corrections): -2.03 eV/atom
* symmetry: Pm-3m
* DFT formation energy: 1.05 eV per atom
* calculated density: 2.6 g/cm3
* distance to the lowest polymorph of the same formula: 0.000 eV/atom